Entry 1:
DFT (PBE-GGA) results for a relaxed structure of BaMgBr3.

abc: 6.2863 6.2863 6.2863
angles: 90.00 90.00 90.00
Closest atoms and distances in Å follow each position.
Positions (direct):
Br 0.0000 0.0000 0.5000  2 Ba 3.14
Mg 0.5000 0.5000 0.5000  12 Br 4.45
Br 0.5000 0.0000 0.0000  2 Ba 3.14
Ba 0.0000 0.0000 0.0000  6 Br 3.14
Br 0.0000 0.5000 0.0000  2 Ba 3.14

Results
DOS at the Fermi energy ... 0.00 states/eV/cell
Space group ... Pm-3m
E_form (uncorrected) ... -555 kJ/mol of formula units
Polymorph energy (0 for the lowest one) ... 232 meV/atom



Entry 2:
DFT (PBE-GGA) results for a relaxed structure of Er2MgF8.

abc: 3.3421 5.7265 8.1144
angles: 87.61 101.88 90.00
Closest atoms and distances in Å follow each position.
Positions (direct):
Er 0.8458 0.3416 0.6916  8 F 2.16-2.33
F 0.3740 0.0667 0.7481  1 Mg 2.02
F 0.2442 0.3282 0.4883  3 Er 2.32-2.33, 3 F 2.50-2.59
F 0.0166 0.7850 0.0331  2 Mg 2.09, 1 Er 2.27
F 0.7558 0.6718 0.5117  3 Er 2.32-2.33, 3 F 2.50-2.59
F 0.6077 0.4633 0.2153  2 Er 2.16
Mg 0.5000 0.0000 0.0000  6 F 2.02-2.09
Er 0.1542 0.6584 0.3084  8 F 2.16-2.33
F 0.3923 0.5367 0.7847  2 Er 2.16
F 0.6260 0.9333 0.2519  1 Mg 2.02
F 0.9834 0.2150 0.9669  2 Mg 2.09, 1 Er 2.27

Results
DOS at the Fermi energy ... 0.00 states/eV/cell
Space group ... C2/m
E_form (uncorrected) ... -4125 kJ/mol of formula units
Polymorph energy (0 for the lowest one) ... 85 meV/atom



Entry 3:
DFT (PBE-GGA) results for a relaxed structure of NdIrSe2.

abc: 3.8191 3.8191 8.6641
angles: 77.27 77.27 60.00
Closest atoms and distances in Å follow each position.
Positions (direct):
Se 0.8822 0.8822 0.3533  3 Ir 2.52
Ir 0.5000 0.5000 0.5000  6 Se 2.52
Se 0.1178 0.1178 0.6467  3 Ir 2.52
Nd 0.0000 0.0000 0.0000  2 Se 2.96

Results
DOS at the Fermi energy ... 1.47 states/eV/cell
Space group ... R-3m
E_form (uncorrected) ... -140 kJ/mol of formula units



Entry 4:
DFT (PBE-GGA) results for a relaxed structure of ZrZn2As.

abc: 5.2628 5.2628 2.9976
angles: 90.00 90.00 118.59
Closest atoms and distances in Å follow each position.
Positions (direct):
Zr 0.5000 0.0000 0.5000  2 As 2.69, 2 Zr 3.00
As 0.0000 0.5000 0.5000  2 Zr 2.69, 2 As 3.00
Zn 0.5000 0.5000 0.0000  4 Zn 2.69-3.00
Zn 0.0000 0.0000 0.0000  4 Zn 2.69-3.00

Results
DOS at the Fermi energy ... 1.68 states/eV/cell
Space group ... Cmmm
Energy of formation ... -187 meV per atom



Entry 5:
DFT (PBE-GGA) results for a relaxed structure of TiAlCrSn2.

abc: 5.1450 4.6165 5.1450
angles: 90.00 90.00 90.00
Closest atoms and distances in Å follow each position.
Positions (direct):
Sn 0.5000 0.0000 0.0000  2 Al 2.57
Cr 0.0000 0.5000 0.0000  2 Al 2.31
Al 0.0000 0.0000 0.0000  2 Cr 2.31, 4 Sn 2.57
Ti 0.5000 0.5000 0.5000  8 Sn 3.46, 4 Cr 3.64
Sn 0.0000 0.0000 0.5000  2 Al 2.57

Results
DOS at the Fermi energy ... 7.08 states/eV/cell
Space group ... P4/mmm
Energy of formation ... 983 meV per atom



Entry 6:
DFT (PBE-GGA) results for a relaxed structure of LiTc.

abc: 4.7931 4.7931 4.8213
angles: 90.00 90.00 90.00
Closest atoms and distances in Å follow each position.
Positions (direct):
Li 0.6699 0.6699 0.5000  1 Li 2.30, 6 Tc 2.41-2.53
Tc 0.8329 0.1671 0.5000  1 Tc 2.27, 6 Li 2.41-2.53
Tc 0.6671 0.6671 0.0000  1 Tc 2.27, 6 Li 2.41-2.53
Tc 0.1671 0.8329 0.5000  1 Tc 2.27, 6 Li 2.41-2.53
Li 0.3301 0.3301 0.5000  1 Li 2.30, 6 Tc 2.41-2.53
Li 0.1699 0.8301 0.0000  1 Li 2.30, 6 Tc 2.41-2.53
Tc 0.3329 0.3329 0.0000  1 Tc 2.27, 6 Li 2.41-2.53
Li 0.8301 0.1699 0.0000  1 Li 2.30, 6 Tc 2.41-2.53

Results
DOS at the Fermi energy ... 5.47 states/eV/cell
Space group ... P4_2/mnm
Energy of formation ... 972 meV per atom
Polymorph energy (0 for the lowest one) ... 878 meV/atom



Entry 7:
DFT (PBE-GGA) results for a relaxed structure of NdHo2Lu.

abc: 3.5520 3.5520 11.7247
angles: 81.29 81.29 60.00
Closest atoms and distances in Å follow each position.
Positions (direct):
Lu 0.0000 0.0000 0.0000  6 Ho 3.48, 6 Lu 3.55
Ho 0.2521 0.2521 0.2438  3 Lu 3.48, 6 Ho 3.55, 3 Nd 3.60
Nd 0.5000 0.5000 0.5000  6 Nd 3.55, 6 Ho 3.60
Ho 0.7479 0.7479 0.7562  3 Lu 3.48, 6 Ho 3.55, 3 Nd 3.60

Results
DOS at the Fermi energy ... 5.89 states/eV/cell
Space group ... R-3m
Energy of formation ... 27 meV per atom
Polymorph energy (0 for the lowest one) ... 1 meV/atom



Entry 8:
DFT (PBE-GGA) results for a relaxed structure of SrRuCl.

abc: 5.1342 5.1342 5.1342
angles: 60.00 60.00 60.00
Closest atoms and distances in Å follow each position.
Positions (direct):
Sr 0.2500 0.2500 0.2500  4 Cl 3.14, 4 Ru 3.14
Ru 0.5000 0.5000 0.5000  4 Sr 3.14
Cl 0.0000 0.0000 0.0000  4 Sr 3.14

Results
DOS at the Fermi energy ... 6.96 states/eV/cell
Space group ... F-43m
E_form (uncorrected) ... 142 kJ/mol of formula units
Polymorph energy (0 for the lowest one) ... 563 meV/atom



Entry 9:
DFT (PBE-GGA) results for a relaxed structure of PmDy2TlO.

abc: 4.9613 4.7841 4.7841
angles: 90.00 90.00 90.00
Closest atoms and distances in Å follow each position.
Positions (direct):
Dy 0.0000 0.5000 0.0000  2 O 2.39
Pm 0.5000 0.0000 0.0000  2 O 2.48
O 0.0000 0.0000 0.0000  4 Dy 2.39, 2 Pm 2.48
Tl 0.5000 0.5000 0.5000  4 Pm 3.38, 8 Dy 3.45
Dy 0.0000 0.0000 0.5000  2 O 2.39

Results
DOS at the Fermi energy ... 1.67 states/eV/cell
Space group ... P4/mmm
E_form (uncorrected) ... -654 kJ/mol of formula units



Entry 10:
DFT (PBE-GGA) results for a relaxed structure of Al4SiMo2.

abc: 4.8287 4.8287 7.1848
angles: 70.36 70.36 90.00
Closest atoms and distances in Å follow each position.
Positions (direct):
Mo 0.4062 0.4062 0.1876  1 Mo 2.37
Al 0.5000 0.0000 0.0000  2 Si 2.41, 4 Mo 2.69
Al 0.8079 0.8079 0.3842  1 Si 2.43, 1 Mo 2.71
Mo 0.5938 0.5938 0.8124  1 Mo 2.37
Al 0.0000 0.5000 0.0000  2 Si 2.41, 4 Mo 2.69
Si 0.0000 0.0000 0.0000  6 Al 2.41-2.43
Al 0.1921 0.1921 0.6158  1 Si 2.43, 1 Mo 2.71

Results
DOS at the Fermi energy ... 5.83 states/eV/cell
Space group ... I4/mmm
E_form (uncorrected) ... 590 kJ/mol of formula units



Which E_tot belongs to each record? In order, -14.29; -68.44; -22.05; -16.49; -24.35; -41.34; -18.33; -11.33; -28.05; -35.94 eV per cell.